No. 1
A plane-wave DFT calculation with PBE-GGA was carried out for a geometry-optimized Na8TlIn3 structure.

a = 9.2115 Å, b = 9.1814 Å, c = 7.6088 Å
α = 65.77°, β = 65.36°, γ = 48.87°
Fractional coordinates of all 12 atoms:
Na1 0.1221 0.6249 0.8779
Na2 0.1236 0.6268 0.3732
Na3 0.3732 0.8764 0.1236
Na4 0.3751 0.8779 0.6249
Na5 0.6249 0.1221 0.3751
Na6 0.6268 0.1236 0.8764
Na7 0.8764 0.3732 0.6268
Na8 0.8779 0.3751 0.1221
Tl1 0.5000 0.5000 0.5000
In1 0.0000 0.0000 0.0000
In2 0.2500 0.2500 0.2500
In3 0.7500 0.7500 0.7500

The calculated density comes out at 2.8 g/cm³. The calculation puts the magnetic moment at 0.00 μB/atom. The energy of formation from the pure elements comes out at 0.093 eV/atom.

No. 2
A plane-wave DFT calculation with PBE-GGA was carried out for a geometry-optimized TaPS2F structure.

a = 4.6944 Å, b = 4.6944 Å, c = 3.5858 Å
α = 90.00°, β = 90.00°, γ = 90.00°
Fractional coordinates of all 5 atoms:
Ta1 0.0000 0.0000 0.0000
P1 0.5000 0.5000 0.0000
S1 0.0000 0.5000 0.5000
S2 0.5000 0.0000 0.5000
F1 0.5000 0.5000 0.5000

The formation energy from raw total energies is 0.631 eV per atom. The calculated density comes out at 6.2 g/cm³. The calculation puts the magnetic moment at 0.00 μB/atom. The energy above the lowest structure with this stoichiometry is 0.769 eV/atom.